Ta2MoHIr: optimized geometry, PBE.

For the raw total energy, the calculation gives -9.5669 eV per atom.

The space group is P4/mmm (No. 123) and the conventional cell measures 4.408, 4.408 and 3.558 Å, with angles of 90.00, 90.00 and 90.00 degrees. The inequivalent atoms are Ta at (0.000, 0.500, 0.000), Mo at (0.000, 0.000, 0.500), H at (0.500, 0.500, 0.000) and Ir at (0.500, 0.500, 0.500).